Tl2RePb | GGA-PBEsol | relaxed

abc: 4.4001 4.4001 5.5119
angles: 113.52 113.52 90.00
Last column: magnetic moment on the atom in μB.
Sites, in units of the cell vectors:
Pb1 0.5000 0.5000 0.0000  -0.01
Re1 0.0000 0.0000 0.0000  0.71
Tl1 0.2500 0.7500 0.5000  0.00
Tl2 0.7500 0.2500 0.5000  0.00

Symmetry: I4/mmm (139)
DFT total energy in eV/atom: -4.580
Energy of formation in eV per atom: 1.07
Spin magnetization in μB/atom: 0.1974